Entry 1:
VASP calculation (PBE) on an optimized crystal structure of ScSnRuRh.

Lattice parameters (Å, degrees): 4.540 4.540 4.540 60.00 60.00 60.00
Fractional positions:
Sc: 0.000 0.000 0.000
Sn: 0.500 0.500 0.500
Ru: 0.750 0.750 0.750
Rh: 0.250 0.250 0.250

Theoretical density ... 9.225 g cm⁻³
M_tot ... 0.000 μB per formula unit
D(E_F) ... 0.80 states/eV/f.u.
ΔH_f (0 K) ... -3.0 eV per formula unit

=====

Entry 2:
VASP calculation (PBE) on an optimized crystal structure of ThScRuRh.

Lattice parameters (Å, degrees): 4.824 4.824 4.824 60.00 60.00 60.00
Fractional positions:
Th: 0.000 0.000 0.000
Sc: 0.500 0.500 0.500
Ru: 0.750 0.750 0.750
Rh: 0.250 0.250 0.250

Theoretical density ... 10.061 g cm⁻³
M_tot ... 0.000 μB per formula unit
D(E_F) ... 2.64 states/eV/f.u.
ΔH_f (0 K) ... -2.7 eV per formula unit

=====

Entry 3:
VASP calculation (PBE) on an optimized crystal structure of ScTiRuRh.

Lattice parameters (Å, degrees): 3.152 3.152 6.329 90.00 90.00 90.00
Fractional positions:
Sc: 0.000 0.000 0.000
Ti: 0.000 0.000 0.492
Ru: 0.500 0.500 0.265
Rh: 0.500 0.500 0.735

Theoretical density ... 7.836 g cm⁻³
M_tot ... 0.000 μB per formula unit
D(E_F) ... 1.59 states/eV/f.u.
ΔH_f (0 K) ... -3.3 eV per formula unit

=====

Entry 4:
VASP calculation (PBE) on an optimized crystal structure of Sc5Tl2RuRh2.

Lattice parameters (Å, degrees): 11.150 11.150 3.275 90.00 90.00 90.00
Fractional positions:
Sc: 0.000 0.500 0.000
Sc: 0.066 0.191 0.000
Sc: 0.191 0.934 0.000
Sc: 0.309 0.434 0.000
Sc: 0.434 0.691 0.000
Sc: 0.500 0.000 0.000
Sc: 0.566 0.309 0.000
Sc: 0.691 0.566 0.000
Sc: 0.809 0.066 0.000
Sc: 0.934 0.809 0.000
Tl: 0.173 0.673 0.500
Tl: 0.327 0.173 0.500
Tl: 0.673 0.827 0.500
Tl: 0.827 0.327 0.500
Ru: 0.000 0.000 0.500
Ru: 0.500 0.500 0.500
Rh: 0.134 0.366 0.500
Rh: 0.366 0.866 0.500
Rh: 0.634 0.134 0.500
Rh: 0.866 0.634 0.500

Theoretical density ... 7.672 g cm⁻³
M_tot ... 0.000 μB per formula unit
D(E_F) ... 4.29 states/eV/f.u.
ΔH_f (0 K) ... -5.4 eV per formula unit

=====

What did the fourth record say?
VASP calculation (PBE) on an optimized crystal structure of Sc5Tl2RuRh2.

Lattice parameters (Å, degrees): 11.150 11.150 3.275 90.00 90.00 90.00
Fractional positions:
Sc: 0.000 0.500 0.000
Sc: 0.066 0.191 0.000
Sc: 0.191 0.934 0.000
Sc: 0.309 0.434 0.000
Sc: 0.434 0.691 0.000
Sc: 0.500 0.000 0.000
Sc: 0.566 0.309 0.000
Sc: 0.691 0.566 0.000
Sc: 0.809 0.066 0.000
Sc: 0.934 0.809 0.000
Tl: 0.173 0.673 0.500
Tl: 0.327 0.173 0.500
Tl: 0.673 0.827 0.500
Tl: 0.827 0.327 0.500
Ru: 0.000 0.000 0.500
Ru: 0.500 0.500 0.500
Rh: 0.134 0.366 0.500
Rh: 0.366 0.866 0.500
Rh: 0.634 0.134 0.500
Rh: 0.866 0.634 0.500

Theoretical density ... 7.672 g cm⁻³
M_tot ... 0.000 μB per formula unit
D(E_F) ... 4.29 states/eV/f.u.
ΔH_f (0 K) ... -5.4 eV per formula unit

=====

Copy entry 3 word for word.
VASP calculation (PBE) on an optimized crystal structure of ScTiRuRh.

Lattice parameters (Å, degrees): 3.152 3.152 6.329 90.00 90.00 90.00
Fractional positions:
Sc: 0.000 0.000 0.000
Ti: 0.000 0.000 0.492
Ru: 0.500 0.500 0.265
Rh: 0.500 0.500 0.735

Theoretical density ... 7.836 g cm⁻³
M_tot ... 0.000 μB per formula unit
D(E_F) ... 1.59 states/eV/f.u.
ΔH_f (0 K) ... -3.3 eV per formula unit

=====

Which formula does entry 2 have? ThScRuRh